Record 1
Compound: BaSbTe2Br
Source: the Alexandria database
Functional: meta-GGA SCAN
Structure: single point on PBEsol structure

## Properties
As for the crystal system: tetragonal. The value obtained for the calculated volume is 34.62 A^3/atom. Its calculated total energy is -171.68 eV/cell. For the spin magnetization, the calculation gives 0.00 μB/f.u. The calculation puts the formation energy from raw total energies at -0.181 eV/atom. The space group is P4/mmm (123).

Cell: 5.5253 5.5970 5.5970 Å, 90.00 90.00 90.00°
Closest atoms and distances in Å follow each position.
Positions (direct):
Te (0.0000, 0.5000, 0.0000)  2 Br 2.80
Te (0.0000, 0.0000, 0.5000)  2 Br 2.80
Br (0.0000, 0.0000, 0.0000)  2 Sb 2.76, 4 Te 2.80
Ba (0.5000, 0.5000, 0.5000)  8 Te 3.93, 4 Sb 3.96
Sb (0.5000, 0.0000, 0.0000)  2 Br 2.76



Record 2
Compound: BaScBr3
Source: the Alexandria database
Functional: meta-GGA SCAN
Structure: single point on PBEsol structure

## Properties
As for the crystal system: cubic. The value obtained for the calculated volume is 28.82 A^3/atom. Its calculated total energy is -120.00 eV/cell. For the spin magnetization, the calculation gives 0.00 μB/f.u. The calculation puts the formation energy from raw total energies at -1.568 eV/atom. The space group is Pm-3m (221).

Cell: 5.2428 5.2428 5.2428 Å, 90.00 90.00 90.00°
Closest atoms and distances in Å follow each position.
Positions (direct):
Br (0.0000, 0.0000, 0.5000)  2 Sc 2.62
Br (0.0000, 0.5000, 0.0000)  2 Sc 2.62
Br (0.5000, 0.0000, 0.0000)  2 Sc 2.62
Ba (0.5000, 0.5000, 0.5000)  12 Br 3.71
Sc (0.0000, 0.0000, 0.0000)  6 Br 2.62



Record 3
Compound: BaScBr
Source: the Alexandria database
Functional: meta-GGA SCAN
Structure: single point on PBEsol structure

## Properties
As for the crystal system: cubic. The value obtained for the calculated volume is 42.70 A^3/atom. Its calculated total energy is -72.63 eV/cell. For the spin magnetization, the calculation gives 2.00 μB/f.u. The calculation puts the formation energy from raw total energies at 0.204 eV/atom. The space group is F-43m (216).

Cell: 5.6585 5.6585 5.6585 Å, 60.00 60.00 60.00°
Closest atoms and distances in Å follow each position.
Positions (direct):
Ba (0.2500, 0.2500, 0.2500)  4 Sc 3.47, 4 Br 3.47
Sc (0.5000, 0.5000, 0.5000)  4 Ba 3.47
Br (0.0000, 0.0000, 0.0000)  4 Ba 3.47



Record 4
Compound: BaScBr2
Source: the Alexandria database
Functional: meta-GGA SCAN
Structure: single point on PBEsol structure

## Properties
As for the crystal system: orthorhombic. The value obtained for the calculated volume is 29.24 A^3/atom. Its calculated total energy is -97.05 eV/cell. For the spin magnetization, the calculation gives 0.66 μB/f.u. The calculation puts the formation energy from raw total energies at -1.086 eV/atom. The space group is Cmmm (65).

Cell: 3.6921 3.8316 9.4340 Å, 90.00 90.00 118.80°
Closest atoms and distances in Å follow each position.
Positions (direct):
Br (0.0000, 0.0000, 0.2837)  2 Sc 2.75
Br (0.0000, 0.0000, 0.7163)  2 Sc 2.75
Ba (0.5000, 0.0000, 0.0000)  4 Br 3.25
Sc (0.5000, 0.0000, 0.5000)  4 Br 2.75